(1)
Here is crystalline PuPa3Ge2 at its relaxed geometry from Alexandria. Energies are from PBE-GGA.

Cell lengths 7.6145, 7.6145, 7.6145 Å; angles 55.67, 55.67, 55.67 degrees
Fractional coordinates of all 12 atoms:
Pu1 0.0000 0.0000 0.0000
Pu2 0.5000 0.5000 0.5000
Pa1 0.1322 0.7500 0.3678
Pa2 0.2500 0.6322 0.8678
Pa3 0.3678 0.1322 0.7500
Pa4 0.6322 0.8678 0.2500
Pa5 0.7500 0.3678 0.1322
Pa6 0.8678 0.2500 0.6322
Ge1 0.1835 0.1835 0.1835
Ge2 0.3165 0.3165 0.3165
Ge3 0.6835 0.6835 0.6835
Ge4 0.8165 0.8165 0.8165

Properties
total magnetization: 11.97 μB per cell
electronic total energy: -0.64592 Ry/atom
crystal system: trigonal
energy above the lowest structure with this stoichiometry: 0.163 eV/atom
formation enthalpy at 0 K: -0.11 eV per atom

(2)
Here is crystalline Pu2Pa2Ge5 at its relaxed geometry from Alexandria. Energies are from PBE-GGA.

Cell lengths 8.0924, 8.0924, 7.6279 Å; angles 90.00, 90.00, 56.35 degrees
Fractional coordinates of all 18 atoms:
Pu1 0.2058 0.2058 0.0000
Pu2 0.2942 0.2942 0.5000
Pu3 0.7058 0.7058 0.5000
Pu4 0.7942 0.7942 0.0000
Pa1 0.1293 0.8707 0.6303
Pa2 0.3707 0.6293 0.1303
Pa3 0.6293 0.3707 0.8697
Pa4 0.8707 0.1293 0.3697
Ge1 0.0000 0.0000 0.0000
Ge2 0.0374 0.6927 0.3286
Ge3 0.1927 0.5374 0.8286
Ge4 0.3073 0.9626 0.3286
Ge5 0.4626 0.8073 0.8286
Ge6 0.5000 0.5000 0.5000
Ge7 0.5374 0.1927 0.1714
Ge8 0.6927 0.0374 0.6714
Ge9 0.8073 0.4626 0.1714
Ge10 0.9626 0.3073 0.6714

Properties
total magnetization: 20.09 μB per cell
electronic total energy: -0.60462 Ry/atom
crystal system: orthorhombic
formation enthalpy at 0 K: -0.37 eV per atom